No. 1
DFT (PBE-GGA) results for a relaxed Ti8Bi9 crystal.

The structure belongs to space group P4/nmm (No. 129, origin choice 2); the cell edges are 10.311, 10.311 and 7.456 Å and the angles 90.00°, 90.00° and 90.00°. The asymmetric unit holds Ti at (0.000, 0.000, 0.000), Ti at (0.108, 0.750, 0.147), Ti at (0.250, 0.250, 0.425), Ti at (0.250, 0.250, 0.921), Bi at (0.013, 0.250, 0.193), Bi at (0.085, 0.085, 0.654) and Bi at (0.250, 0.750, 0.500).

The value obtained for the energy of formation is -4.3 kcal/mol of atoms. The magnetic moment is 0.02 μB per formula unit.

No. 2
DFT (PBE-GGA) results for a relaxed Dy8Ge5Te crystal.

The structure belongs to space group I-4 (No. 82); the cell edges are 8.921, 8.921 and 8.827 Å and the angles 90.00°, 90.00° and 90.00°. The asymmetric unit holds Dy at (0.067, 0.188, 0.186), Dy at (0.071, 0.329, 0.561), Ge at (0.000, 0.500, 0.250), Ge at (0.130, 0.250, 0.873) and Te at (0.000, 0.000, 0.500).

The magnetic moment is 0.00 μB per formula unit. The calculation puts the energy relative to the elements, uncorrected at -12.5 eV per formula unit.

No. 3
DFT (PBE-GGA) results for a relaxed Ce2SiCl crystal.

The structure belongs to space group R3m (No. 160, hexagonal axes); the cell edges are 4.0560, 4.0560 and 22.1526 Å and the angles 90.00°, 90.00° and 120.00°. The asymmetric unit holds Ce at (0.0000, 0.0000, 0.0000), Ce at (0.0000, 0.0000, 0.1839), Si at (0.0000, 0.0000, 0.5929) and Cl at (0.0000, 0.0000, 0.4220).

The magnetic moment is 1.81 μB per formula unit. Its offset from the most stable computed form is 107 meV/atom. The calculation puts the energy relative to the elements, uncorrected at -4.0 eV per formula unit.

No. 4
DFT (PBE-GGA) results for a relaxed Be2VRh crystal.

The structure belongs to space group I-42d (No. 122); the cell edges are 3.457, 3.457 and 16.759 Å and the angles 90.00°, 90.00° and 90.00°. The asymmetric unit holds Be at (0.240, 0.250, 0.125), V at (0.000, 0.000, 0.500) and Rh at (0.000, 0.000, 0.000).

The value obtained for the energy of formation is 6.5 kcal/mol of atoms. The magnetic moment is 0.00 μB per formula unit. Its offset from the most stable computed form is 591 meV/atom.

No. 5
DFT (PBE-GGA) results for a relaxed TlCr2Si crystal.

The structure belongs to space group I-4m2 (No. 119); the cell edges are 3.814, 3.814 and 9.187 Å and the angles 90.00°, 90.00° and 90.00°. The asymmetric unit holds Tl at (0.000, 0.000, 0.000), Cr at (0.000, 0.000, 0.500), Cr at (0.000, 0.500, 0.750) and Si at (0.000, 0.500, 0.250).

The magnetic moment is 5.96 μB per formula unit. The calculation puts the energy relative to the elements, uncorrected at 2.4 eV per formula unit.

No. 6
DFT (PBE-GGA) results for a relaxed LiCuW crystal.

The structure belongs to space group F-43m (No. 216); the cell edges are 5.790, 5.790 and 5.790 Å and the angles 90.00°, 90.00° and 90.00°. The asymmetric unit holds Li at (0.000, 0.000, 0.000), Cu at (0.000, 0.000, 0.500) and W at (0.250, 0.250, 0.750).

The value obtained for the energy of formation is 33.7 kcal/mol of atoms. The magnetic moment is 0.00 μB per formula unit. Its offset from the most stable computed form is 1120 meV/atom.

No. 7
DFT (PBE-GGA) results for a relaxed SrLiEuRh crystal.

The structure belongs to space group F-43m (No. 216); the cell edges are 7.409, 7.409 and 7.409 Å and the angles 90.00°, 90.00° and 90.00°. The asymmetric unit holds Sr at (0.000, 0.000, 0.000), Li at (0.250, 0.250, 0.250), Eu at (0.000, 0.000, 0.500) and Rh at (0.250, 0.250, 0.750).

The value obtained for the energy of formation is -3.4 kcal/mol of atoms. The magnetic moment is 7.01 μB per formula unit.

No. 8
DFT (PBE-GGA) results for a relaxed TlVIn3 crystal.

The structure belongs to space group Pm-3m (No. 221); the cell edges are 5.333, 5.333 and 5.333 Å and the angles 90.00°, 90.00° and 90.00°. The asymmetric unit holds Tl at (0.000, 0.000, 0.000), V at (0.500, 0.500, 0.500) and In at (0.000, 0.500, 0.500).

The value obtained for the energy of formation is 8.2 kcal/mol of atoms. The magnetic moment is 2.69 μB per formula unit. Its offset from the most stable computed form is 0 meV/atom.

No. 9
DFT (PBE-GGA) results for a relaxed U5TaP6 crystal.

The structure belongs to space group C2/m (No. 12); the cell edges are 6.726, 11.603 and 6.645 Å and the angles 90.00°, 109.66° and 90.00°. The asymmetric unit holds U at (0.000, 0.000, 0.000), U at (0.000, 0.165, 0.500), U at (0.000, 0.328, 0.000), Ta at (0.000, 0.500, 0.500), P at (0.235, 0.500, 0.253) and P at (0.238, 0.340, 0.738).

The value obtained for the energy of formation is -21.5 kcal/mol of atoms. The magnetic moment is 10.16 μB per formula unit.

No. 10
DFT (PBE-GGA) results for a relaxed PRh2Se crystal.

The structure belongs to space group P4/mmm (No. 123); the cell edges are 2.942, 2.942 and 6.877 Å and the angles 90.00°, 90.00° and 90.00°. The asymmetric unit holds P at (0.000, 0.000, 0.000), Rh at (0.500, 0.500, 0.200) and Se at (0.000, 0.000, 0.500).

The magnetic moment is 0.00 μB per formula unit. The calculation puts the energy relative to the elements, uncorrected at -0.7 eV per formula unit.

No. 11
DFT (PBE-GGA) results for a relaxed W2SeCl crystal.

The structure belongs to space group Imm2 (No. 44); the cell edges are 3.057, 3.119 and 18.088 Å and the angles 90.00°, 90.00° and 90.00°. The asymmetric unit holds W at (0.000, 0.000, 0.000), W at (0.000, 0.500, 0.111), Se at (0.000, 0.000, 0.416) and Cl at (0.000, 0.500, 0.702).

The magnetic moment is 0.00 μB per formula unit. Its offset from the most stable computed form is 313 meV/atom. The calculation puts the energy relative to the elements, uncorrected at 1.1 eV per formula unit.

No. 12
DFT (PBE-GGA) results for a relaxed TcSn3P crystal.

The structure belongs to space group Pm-3m (No. 221); the cell edges are 5.152, 5.152 and 5.152 Å and the angles 90.00°, 90.00° and 90.00°. The asymmetric unit holds Tc at (0.000, 0.000, 0.000), Sn at (0.000, 0.000, 0.500) and P at (0.500, 0.500, 0.500).

The value obtained for the energy of formation is 12.1 kcal/mol of atoms. The magnetic moment is 1.91 μB per formula unit. Its offset from the most stable computed form is 0 meV/atom.

No. 13
DFT (PBE-GGA) results for a relaxed ScGa2Ag crystal.

The structure belongs to space group P4/mmm (No. 123); the cell edges are 3.102, 3.102 and 7.468 Å and the angles 90.00°, 90.00° and 90.00°. The asymmetric unit holds Sc at (0.000, 0.000, 0.000), Ga at (0.500, 0.500, 0.258) and Ag at (0.000, 0.000, 0.500).

The value obtained for the energy of formation is -6.5 kcal/mol of atoms. The magnetic moment is 0.27 μB per formula unit. Its offset from the most stable computed form is 115 meV/atom.

No. 14
DFT (PBE-GGA) results for a relaxed KZnHg2 crystal.

The structure belongs to space group I-4m2 (No. 119); the cell edges are 4.996, 4.996 and 9.283 Å and the angles 90.00°, 90.00° and 90.00°. The asymmetric unit holds K at (0.000, 0.000, 0.000), Zn at (0.000, 0.500, 0.750), Hg at (0.000, 0.000, 0.500) and Hg at (0.000, 0.500, 0.250).

The value obtained for the energy of formation is -0.7 kcal/mol of atoms. The magnetic moment is 0.00 μB per formula unit.

No. 15
DFT (PBE-GGA) results for a relaxed Ca2SiB2Ir5 crystal.

The structure belongs to space group P4/mbm (No. 127); the cell edges are 9.684, 9.684 and 2.964 Å and the angles 90.00°, 90.00° and 90.00°. The asymmetric unit holds Ca at (0.177, 0.323, 0.000), Si at (0.000, 0.000, 0.000), B at (0.124, 0.624, 0.000), Ir at (0.000, 0.500, 0.500) and Ir at (0.067, 0.787, 0.500).

The magnetic moment is 0.00 μB per formula unit. The calculation puts the energy relative to the elements, uncorrected at -5.5 eV per formula unit.

No. 16
DFT (PBE-GGA) results for a relaxed CeY3Al8 crystal.

The structure belongs to space group R3m (No. 160, hexagonal axes); the cell edges are 5.5803, 5.5803 and 27.4145 Å and the angles 90.00°, 90.00° and 120.00°. The asymmetric unit holds Ce at (0.0000, 0.0000, 0.0000), Y at (0.0000, 0.0000, 0.1245), Y at (0.0000, 0.0000, 0.5001), Y at (0.0000, 0.0000, 0.6255), Al at (0.0000, 0.0000, 0.3123), Al at (0.0000, 0.0000, 0.8130), Al at (0.0007, 0.5004, 0.0632) and Al at (0.0006, 0.5003, 0.5619).

The value obtained for the energy of formation is -11.6 kcal/mol of atoms. The magnetic moment is 0.47 μB per formula unit. Its offset from the most stable computed form is 0 meV/atom.

No. 17
DFT (PBE-GGA) results for a relaxed MoPt2Au crystal.

The structure belongs to space group Pmmm (No. 47); the cell edges are 2.835, 3.972 and 5.714 Å and the angles 90.00°, 90.00° and 90.00°. The asymmetric unit holds Mo at (0.000, 0.000, 0.000), Pt at (0.500, 0.500, 0.235) and Au at (0.000, 0.000, 0.500).

The value obtained for the energy of formation is -3.1 kcal/mol of atoms. The magnetic moment is 0.00 μB per formula unit. Its offset from the most stable computed form is 98 meV/atom.

No. 18
DFT (PBE-GGA) results for a relaxed Ac5Pm2Pr3 crystal.

The structure belongs to space group P-1 (No. 2); the cell edges are 5.408, 6.658 and 12.216 Å and the angles 90.05°, 90.06° and 113.94°. The asymmetric unit holds Ac at (0.000, 0.000, 0.000), Ac at (0.103, 0.206, 0.295), Ac at (0.195, 0.391, 0.603), Pm at (0.296, 0.592, 0.905), Pr at (0.400, 0.801, 0.195) and Pr at (0.500, 0.000, 0.500).

The value obtained for the energy of formation is 0.8 kcal/mol of atoms. The magnetic moment is 0.00 μB per formula unit.

No. 19
DFT (PBE-GGA) results for a relaxed CaZn2W crystal.

The structure belongs to space group C2/m (No. 12); the cell edges are 9.304, 2.827 and 5.905 Å and the angles 90.00°, 97.10° and 90.00°. The asymmetric unit holds Ca at (0.000, 0.000, 0.000), Zn at (0.242, 0.000, 0.686) and W at (0.000, 0.500, 0.500).

The value obtained for the energy of formation is 9.7 kcal/mol of atoms. The magnetic moment is 0.00 μB per formula unit. Its offset from the most stable computed form is 161 meV/atom.

No. 20
DFT (PBE-GGA) results for a relaxed Pr2Nd5Ho12 crystal.

The structure belongs to space group C2/m (No. 12); the cell edges are 17.862, 9.158 and 8.735 Å and the angles 90.00°, 116.64° and 90.00°. The asymmetric unit holds Pr at (0.000, 0.172, 0.000), Nd at (0.000, 0.500, 0.500), Nd at (0.221, 0.000, 0.234), Nd at (0.235, 0.500, 0.296), Ho at (0.044, 0.500, 0.185), Ho at (0.068, 0.000, 0.720), Ho at (0.124, 0.218, 0.453) and Ho at (0.146, 0.317, 0.909).

The value obtained for the energy of formation is 5.2 kcal/mol of atoms. The magnetic moment is 0.00 μB per formula unit. Its offset from the most stable computed form is 96 meV/atom.

No. 21
DFT (PBE-GGA) results for a relaxed TmU2BeC4 crystal.

The structure belongs to space group Cmcm (No. 63); the cell edges are 3.557, 10.995 and 11.065 Å and the angles 90.00°, 90.00° and 90.00°. The asymmetric unit holds Tm at (0.000, 0.108, 0.250), U at (0.000, 0.373, 0.057), Be at (0.000, 0.158, 0.750), C at (0.000, 0.000, 0.000), C at (0.000, 0.254, 0.618) and C at (0.000, 0.442, 0.250).

The value obtained for the energy of formation is -3.4 kcal/mol of atoms. The magnetic moment is 0.45 μB per formula unit.

No. 22
DFT (PBE-GGA) results for a relaxed Pr2Dy3Y6Pu crystal.

The structure belongs to space group C2/m (No. 12); the cell edges are 6.199, 10.746 and 11.806 Å and the angles 90.00°, 100.12° and 90.00°. The asymmetric unit holds Pr at (0.000, 0.167, 0.000), Dy at (0.000, 0.000, 0.500), Dy at (0.000, 0.333, 0.500), Y at (0.246, 0.500, 0.748), Y at (0.248, 0.335, 0.251) and Pu at (0.000, 0.500, 0.000).

The value obtained for the energy of formation is 1.2 kcal/mol of atoms. The magnetic moment is 6.26 μB per formula unit.